Record 1
CsEuF3: relaxed, PBEsol.

Cell: 4.735 4.735 4.735 Å, 90.00 90.00 90.00°
Space group Pm-3m (No. 221)
One atom of each set of equivalent atoms:
Cs  0.000  0.000  0.000 x1
Eu  0.500  0.500  0.500 x1
F  0.000  0.500  0.500 x3

Record 2
BRuBr2F: relaxed, PBEsol.

Cell: 4.636 4.636 3.250 Å, 90.00 90.00 90.00°
Space group P4/mmm (No. 123)
One atom of each set of equivalent atoms:
B  0.000  0.000  0.000 x1
Ru  0.500  0.500  0.500 x1
Br  0.000  0.500  0.000 x2
F  0.000  0.000  0.500 x1

Record 3
Cr4TcBr: relaxed, PBEsol.

Cell: 6.769 6.769 6.769 Å, 90.00 90.00 90.00°
Space group F-43m (No. 216)
One atom of each set of equivalent atoms:
Cr  0.125  0.125  0.125 x16
Tc  0.000  0.000  0.500 x4
Br  0.250  0.250  0.750 x4

Record 4
SnP3O9: relaxed, PBEsol.

- Offset from the most stable computed form: 4.9 kJ/mol of atoms

Cell: 8.757 8.851 8.968 Å, 90.00 90.00 90.00°
Space group P2_12_12_1 (No. 19)
One atom of each set of equivalent atoms:
Sn  0.129  0.140  0.349 x4
P  0.033  0.678  0.809 x4
P  0.193  0.514  0.312 x4
P  0.195  0.200  0.941 x4
O  0.040  0.222  0.847 x4
O  0.089  0.116  0.589 x4
O  0.107  0.388  0.385 x4
O  0.122  0.595  0.182 x4
O  0.125  0.810  0.864 x4
O  0.142  0.542  0.756 x4
O  0.149  0.166  0.098 x4
O  0.196  0.901  0.359 x4
O  0.237  0.631  0.441 x4

no.,uncorrected formation energy (meV/atom)
1,-3340
2,488
3,790
4,-1955